Computed, not measured: an optimized crystal structure of TiGa2Ag at the PBE level of DFT.

Cell lengths 2.8969, 2.8969, 7.8468 Å; angles 90.00, 90.00, 90.00 degrees
Fractional positions:
Ga 0.0000 0.0000 0.7402
Ga 0.0000 0.0000 0.2598
Ag 0.5000 0.5000 0.0000
Ti 0.5000 0.5000 0.5000

Results
* SG: P4/mmm (123)
* energy above the lowest structure with this stoichiometry: 48.4 meV/atom
* total magnetic moment: 0.000 μB per cell
* DFT total energy: -0.16238 Ha/atom
* E_form: -0.87 eV per formula unit